Computed, not measured: a geometry-optimized NpPa2Sb structure at the GGA-PBE level of DFT.

Results
excess energy over the best structure of this formula in the dataset = 0.1552 eV per atom
uncorrected formation energy = -12.4 kJ/mol of formula units
symmetry = No. 123
total energy = -9.05 eV/atom

Cell lengths 3.8470, 3.8470, 6.5367 Å; angles 90.00, 90.00, 90.00 degrees
Atoms (fractional coordinates):
Np  0.0000  0.0000  0.0000
Pa  0.5000  0.5000  0.2321
Pa  0.5000  0.5000  0.7679
Sb  0.0000  0.0000  0.5000